P | A plane-wave DFT calculation with GGA-PBE was carried out for a relaxed FeTcN2 crystal.

abc: 3.6648 3.6648 3.6648
angles: 60.00 60.00 60.00
Closest atoms and distances in Å follow each position.
Sites, in units of the cell vectors:
Fe1 0.0000 0.0000 0.0000  8 N 2.24
Tc1 0.5000 0.5000 0.5000  8 N 2.24
N1 0.2500 0.2500 0.2500  4 Fe 2.24, 4 Tc 2.24
N2 0.7500 0.7500 0.7500  4 Fe 2.24, 4 Tc 2.24

---

Q | A plane-wave DFT calculation with GGA-PBE was carried out for a relaxed FeTcN2 crystal.

abc: 5.2886 5.2886 5.2886
angles: 129.60 129.60 74.05
Closest atoms and distances in Å follow each position.
Sites, in units of the cell vectors:
Fe1 0.0000 0.0000 0.0000  4 N 1.84
Fe2 0.7500 0.2500 0.5000  4 N 1.84
Tc1 0.2500 0.7500 0.5000  4 N 1.98
Tc2 0.5000 0.5000 0.0000  4 N 1.98
N1 0.0994 0.6250 0.9744  2 Fe 1.84, 2 Tc 1.98
N2 0.3750 0.3494 0.4744  2 Fe 1.84, 2 Tc 1.98
N3 0.6506 0.1250 0.0256  2 Fe 1.84, 2 Tc 1.98
N4 0.8750 0.9006 0.5256  2 Fe 1.84, 2 Tc 1.98

---

R | A plane-wave DFT calculation with GGA-PBE was carried out for a relaxed FeTcN2 crystal.

abc: 6.4985 6.4985 6.4985
angles: 24.93 24.93 24.93
Closest atoms and distances in Å follow each position.
Sites, in units of the cell vectors:
Fe1 0.0000 0.0000 0.0000  2 N 1.84
Tc1 0.5000 0.5000 0.5000  6 N 2.08
N1 0.0973 0.0973 0.0973  1 Fe 1.84
N2 0.9027 0.9027 0.9027  1 Fe 1.84

---

Energy relative to the most stable one, in meV per atom: P 740; Q 0; R 290

---

P | A plane-wave DFT calculation with GGA-PBE was carried out for a relaxed FeTcN crystal.

abc: 3.4471 3.4471 5.1019
angles: 90.00 90.00 90.00
Closest atoms and distances in Å follow each position.
Sites, in units of the cell vectors:
Fe1 0.2500 0.7500 0.0000  4 N 1.99
Fe2 0.7500 0.2500 0.0000  4 N 1.99
Tc1 0.2500 0.2500 0.4006  1 N 2.06
Tc2 0.7500 0.7500 0.5994  1 N 2.06
N1 0.2500 0.2500 0.8044  4 Fe 1.99, 1 Tc 2.06
N2 0.7500 0.7500 0.1956  4 Fe 1.99, 1 Tc 2.06

---

Q | A plane-wave DFT calculation with GGA-PBE was carried out for a relaxed FeTcN crystal.

abc: 3.0021 3.0021 4.0782
angles: 90.00 90.00 120.00
Closest atoms and distances in Å follow each position.
Sites, in units of the cell vectors:
Fe1 0.0000 0.0000 0.0000  3 N 1.83
Tc1 0.3333 0.6667 0.5236  3 N 2.19
N1 0.6667 0.3333 0.8531  3 Fe 1.83

---

Energy relative to the most stable one, in meV per atom: P 146; Q 0

---

P | A plane-wave DFT calculation with GGA-PBE was carried out for a relaxed Fe3TcN crystal.

abc: 4.4394 4.4394 4.4394
angles: 90.00 90.00 90.00
Closest atoms and distances in Å follow each position.
Sites, in units of the cell vectors:
Fe1 0.0000 0.0000 0.5000  2 Tc 2.22
Fe2 0.0000 0.5000 0.0000  2 Tc 2.22
Fe3 0.5000 0.0000 0.0000  2 Tc 2.22
Tc1 0.0000 0.0000 0.0000  6 Fe 2.22
N1 0.5000 0.5000 0.5000  12 Fe 3.14

---

Q | A plane-wave DFT calculation with GGA-PBE was carried out for a relaxed Fe3TcN crystal.

abc: 3.7899 3.7899 3.7899
angles: 90.00 90.00 90.00
Closest atoms and distances in Å follow each position.
Sites, in units of the cell vectors:
Fe1 0.0000 0.0000 0.5000  2 N 1.89
Fe2 0.0000 0.5000 0.0000  2 N 1.89
Fe3 0.5000 0.0000 0.0000  2 N 1.89
Tc1 0.5000 0.5000 0.5000  12 Fe 2.68
N1 0.0000 0.0000 0.0000  6 Fe 1.89

---

Energy relative to the most stable one, in meV per atom: P 2308; Q 0

---

P | A plane-wave DFT calculation with GGA-PBE was carried out for a relaxed FeTcTe2N crystal.

abc: 5.1608 5.1608 3.3783
angles: 90.00 90.00 90.00
Closest atoms and distances in Å follow each position.
Sites, in units of the cell vectors:
Fe1 0.0000 0.0000 0.0000  2 N 1.69
Tc1 0.5000 0.5000 0.5000  8 Te 3.08, 2 Tc 3.38
Te1 0.0000 0.5000 0.0000  2 Fe 2.58
Te2 0.5000 0.0000 0.0000  2 Fe 2.58
N1 0.0000 0.0000 0.5000  2 Fe 1.69

---

Q | A plane-wave DFT calculation with GGA-PBE was carried out for a relaxed FeTcTe2N crystal.

abc: 5.3921 5.3921 3.6851
angles: 90.00 90.00 90.00
Closest atoms and distances in Å follow each position.
Sites, in units of the cell vectors:
Fe1 0.0000 0.0000 0.0000  8 Te 3.27
Tc1 0.5000 0.5000 0.5000  2 N 1.84
Te1 0.0000 0.5000 0.5000  2 Tc 2.70
Te2 0.5000 0.0000 0.5000  2 Tc 2.70
N1 0.5000 0.5000 0.0000  2 Tc 1.84

---

Energy relative to the most stable one, in meV per atom: P 0; Q 48

---

P | A plane-wave DFT calculation with GGA-PBE was carried out for a relaxed FeTcTeN2 crystal.

abc: 3.8310 3.8310 5.7659
angles: 90.00 90.00 90.00
Closest atoms and distances in Å follow each position.
Sites, in units of the cell vectors:
Fe1 0.0000 0.0000 0.0000  4 Te 2.71
Tc1 0.5000 0.5000 0.5000  4 N 1.92
Te1 0.5000 0.5000 0.0000  4 Fe 2.71, 2 Tc 2.88
N1 0.0000 0.5000 0.5000  2 Tc 1.92
N2 0.5000 0.0000 0.5000  2 Tc 1.92

---

Q | A plane-wave DFT calculation with GGA-PBE was carried out for a relaxed FeTcTeN2 crystal.

abc: 3.6610 3.6610 5.9010
angles: 90.00 90.00 90.00
Closest atoms and distances in Å follow each position.
Sites, in units of the cell vectors:
Fe1 0.0000 0.0000 0.0000  4 N 1.83
Tc1 0.5000 0.5000 0.5000  4 Te 2.59
Te1 0.0000 0.0000 0.5000  4 Tc 2.59
N1 0.0000 0.5000 0.0000  2 Fe 1.83
N2 0.5000 0.0000 0.0000  2 Fe 1.83

---

Energy relative to the most stable one, in meV per atom: P 0; Q 485

---

P | A plane-wave DFT calculation with GGA-PBE was carried out for a relaxed Fe2TeN crystal.

abc: 6.0523 6.0523 6.0523
angles: 133.35 133.35 68.11
Closest atoms and distances in Å follow each position.
Sites, in units of the cell vectors:
Fe1 0.0014 0.6250 0.8764  2 N 1.84
Fe2 0.3750 0.2514 0.3764  2 N 1.84
Fe3 0.7486 0.1250 0.1236  2 N 1.84
Fe4 0.8750 0.9986 0.6236  2 N 1.84
Te1 0.2500 0.7500 0.5000  4 Fe 2.49
Te2 0.5000 0.5000 0.0000  4 Fe 2.49
N1 0.0000 0.0000 0.0000  4 Fe 1.84
N2 0.7500 0.2500 0.5000  4 Fe 1.84

---

Q | A plane-wave DFT calculation with GGA-PBE was carried out for a relaxed Fe2TeN crystal.

abc: 4.1853 4.1853 4.1853
angles: 60.00 60.00 60.00
Closest atoms and distances in Å follow each position.
Sites, in units of the cell vectors:
Fe1 0.2500 0.2500 0.2500  4 N 2.56, 4 Te 2.56
Fe2 0.7500 0.7500 0.7500  4 N 2.56, 4 Te 2.56
Te1 0.0000 0.0000 0.0000  8 Fe 2.56
N1 0.5000 0.5000 0.5000  8 Fe 2.56

---

Energy relative to the most stable one, in meV per atom: P 0; Q 909

---

P | A plane-wave DFT calculation with GGA-PBE was carried out for a relaxed TlFeTe2N crystal.

abc: 5.8558 5.8558 4.0794
angles: 90.00 90.00 90.00
Closest atoms and distances in Å follow each position.
Sites, in units of the cell vectors:
Tl1 0.0000 0.0000 0.0000  2 N 2.04
Fe1 0.5000 0.5000 0.5000  8 Te 3.57
Te1 0.0000 0.5000 0.0000  2 Tl 2.93
Te2 0.5000 0.0000 0.0000  2 Tl 2.93
N1 0.0000 0.0000 0.5000  2 Tl 2.04

---

Q | A plane-wave DFT calculation with GGA-PBE was carried out for a relaxed TlFeTe2N crystal.

abc: 5.6261 5.6261 3.4338
angles: 90.00 90.00 90.00
Closest atoms and distances in Å follow each position.
Sites, in units of the cell vectors:
Tl1 0.0000 0.0000 0.0000  8 Te 3.30, 2 Tl 3.43
Fe1 0.5000 0.5000 0.5000  2 N 1.72
Te1 0.0000 0.5000 0.5000  2 Fe 2.81
Te2 0.5000 0.0000 0.5000  2 Fe 2.81
N1 0.5000 0.5000 0.0000  2 Fe 1.72

---

Energy relative to the most stable one, in meV per atom: P 1454; Q 0

---

P | A plane-wave DFT calculation with GGA-PBE was carried out for a relaxed FeTe2WN crystal.

abc: 5.4336 5.4336 3.7974
angles: 90.00 90.00 90.00
Closest atoms and distances in Å follow each position.
Sites, in units of the cell vectors:
Fe1 0.0000 0.0000 0.0000  8 Te 3.31
Te1 0.0000 0.5000 0.5000  2 W 2.72
Te2 0.5000 0.0000 0.5000  2 W 2.72
W1 0.5000 0.5000 0.5000  2 N 1.90
N1 0.5000 0.5000 0.0000  2 W 1.90

---

Q | A plane-wave DFT calculation with GGA-PBE was carried out for a relaxed FeTe2WN crystal.

abc: 5.1526 5.1526 3.3839
angles: 90.00 90.00 90.00
Closest atoms and distances in Å follow each position.
Sites, in units of the cell vectors:
Fe1 0.0000 0.0000 0.0000  2 N 1.69
Te1 0.0000 0.5000 0.0000  2 Fe 2.58
Te2 0.5000 0.0000 0.0000  2 Fe 2.58
W1 0.5000 0.5000 0.5000  8 Te 3.08, 2 W 3.38
N1 0.0000 0.0000 0.5000  2 Fe 1.69

---

Energy relative to the most stable one, in meV per atom: P 0; Q 93